Record 1
TiAg2H2 after structural relaxation, computed with PBE.

CIF file:
```
data_TiAg2H2
_chemical_formula_sum 'Ti2 Ag4 H4'
_space_group_name_H-M_alt 'P 4/m b m'
_space_group_IT_number 127
_space_group_name_Hall '-P 4 2ab'
_cell_length_a 5.4260
_cell_length_b 5.4260
_cell_length_c 4.2280
_cell_angle_alpha 90.00
_cell_angle_beta 90.00
_cell_angle_gamma 90.00
loop_
_atom_site_label
_atom_site_type_symbol
_atom_site_fract_x
_atom_site_fract_y
_atom_site_fract_z
Ti1 Ti 0.0000 0.0000 0.0000
Ag1 Ag 0.1812 0.3188 0.5000
H1 H 0.1936 0.3064 0.0000
```

The volume comes out at 12.45 A^3/atom. As for the theoretical density: 7.1 g/cm3. The density of states at the Fermi level is 1.529 states/eV/cell. The calculation puts the final energy at -3.976 eV per atom. The magnetization comes out at 0.00 μB per formula unit.



Record 2
Cd2H2Pt3 after structural relaxation, computed with PBE.

CIF file:
```
data_Cd2H2Pt3
_chemical_formula_sum 'Cd2 H2 Pt3'
_space_group_name_H-M_alt 'P 1 2/m 1'
_space_group_IT_number 10
_cell_length_a 4.9403
_cell_length_b 2.9305
_cell_length_c 7.0614
_cell_angle_alpha 90.00
_cell_angle_beta 92.56
_cell_angle_gamma 90.00
loop_
_space_group_symop_operation_xyz
'x,y,z'
'-x,-y,-z'
'-x,y,-z'
'x,-y,z'
loop_
_atom_site_label
_atom_site_type_symbol
_atom_site_fract_x
_atom_site_fract_y
_atom_site_fract_z
Cd1 Cd 0.1942 0.0000 0.1906
H1 H 0.3258 0.5000 0.6046
Pt1 Pt 0.0000 0.5000 0.5000
Pt2 Pt 0.3187 0.5000 0.8463
```

The volume comes out at 14.59 A^3/atom. As for the theoretical density: 13.2 g/cm3. The density of states at the Fermi level is 1.168 states/eV/cell. The calculation puts the final energy at -3.993 eV per atom. The magnetization comes out at 0.00 μB per formula unit.



Record 3
DyPuGa3 after structural relaxation, computed with PBE.

CIF file:
```
data_DyPuGa3
_chemical_formula_sum 'Dy4 Pu4 Ga12'
_space_group_name_H-M_alt 'C m c m'
_space_group_IT_number 63
_space_group_name_Hall '-C 2c 2'
_cell_length_a 4.2154
_cell_length_b 25.7749
_cell_length_c 4.1764
_cell_angle_alpha 90.00
_cell_angle_beta 90.00
_cell_angle_gamma 90.00
loop_
_atom_site_label
_atom_site_type_symbol
_atom_site_fract_x
_atom_site_fract_y
_atom_site_fract_z
Dy1 Dy 0.0000 0.2038 0.2500
Pu1 Pu 0.0000 0.0729 0.7500
Ga1 Ga 0.0000 0.3234 0.2500
Ga2 Ga 0.0000 0.3803 0.7500
Ga3 Ga 0.0000 0.4758 0.7500
```

The volume comes out at 22.69 A^3/atom. As for the theoretical density: 9.0 g/cm3. The density of states at the Fermi level is 54.199 states/eV/cell. The magnetization comes out at 5.47 μB per formula unit. For the formation energy, the calculation gives -2.17 eV/f.u.



Record 4
LiY2Sc after structural relaxation, computed with PBE.

CIF file:
```
data_LiY2Sc
_chemical_formula_sum 'Li1 Y2 Sc1'
_space_group_name_H-M_alt 'P 1 m 1'
_space_group_IT_number 6
_cell_length_a 3.4215
_cell_length_b 5.1853
_cell_length_c 6.4239
_cell_angle_alpha 90.00
_cell_angle_beta 105.43
_cell_angle_gamma 90.00
loop_
_space_group_symop_operation_xyz
'x,y,z'
'x,-y,z'
loop_
_atom_site_label
_atom_site_type_symbol
_atom_site_fract_x
_atom_site_fract_y
_atom_site_fract_z
Li1 Li 0.0000 0.0000 0.0000
Y1 Y 0.3842 0.5000 0.7810
Y2 Y 0.7270 0.0000 0.4696
Sc1 Sc 0.1177 0.5000 0.2542
```

The volume comes out at 27.46 A^3/atom. As for the theoretical density: 3.5 g/cm3. The density of states at the Fermi level is 5.254 states/eV/cell. The magnetization comes out at 0.00 μB per formula unit. For the formation energy, the calculation gives 0.56 eV/f.u. For the offset from the most stable computed form, the calculation gives 63 meV/atom.



Record 5
Nd2AlPb after structural relaxation, computed with PBE.

CIF file:
```
data_Nd2AlPb
_chemical_formula_sum 'Nd6 Al3 Pb3'
_space_group_name_H-M_alt 'R -3 m'
_space_group_IT_number 166
_space_group_name_Hall '-R 3 2"'
_cell_length_a 3.6321
_cell_length_b 3.6321
_cell_length_c 33.4288
_cell_angle_alpha 90.00
_cell_angle_beta 90.00
_cell_angle_gamma 120.00
loop_
_atom_site_label
_atom_site_type_symbol
_atom_site_fract_x
_atom_site_fract_y
_atom_site_fract_z
Nd1 Nd 0.0000 0.0000 0.0982
Al1 Al 0.0000 0.0000 0.5000
Pb1 Pb 0.0000 0.0000 0.0000
```

The volume comes out at 31.83 A^3/atom. As for the theoretical density: 6.8 g/cm3. The density of states at the Fermi level is 7.719 states/eV/cell. The magnetization comes out at 0.00 μB per formula unit. For the formation energy, the calculation gives -0.20 eV/f.u.



Record 6
Sn2BiSb2 after structural relaxation, computed with PBE.

CIF file:
```
data_Sn2BiSb2
_chemical_formula_sum 'Sn4 Bi2 Sb4'
_space_group_name_H-M_alt 'I 4/m m m'
_space_group_IT_number 139
_space_group_name_Hall '-I 4 2'
_cell_length_a 4.2665
_cell_length_b 4.2665
_cell_length_c 16.8394
_cell_angle_alpha 90.00
_cell_angle_beta 90.00
_cell_angle_gamma 90.00
loop_
_atom_site_label
_atom_site_type_symbol
_atom_site_fract_x
_atom_site_fract_y
_atom_site_fract_z
Sn1 Sn 0.0000 0.0000 0.0948
Bi1 Bi 0.0000 0.0000 0.5000
Sb1 Sb 0.0000 0.5000 0.2500
```

The volume comes out at 30.65 A^3/atom. As for the theoretical density: 7.5 g/cm3. The density of states at the Fermi level is 7.221 states/eV/cell. The magnetization comes out at 0.00 μB per formula unit. For the offset from the most stable computed form, the calculation gives 129 meV/atom.



Record 7
LiBiBr3 after structural relaxation, computed with PBE.

CIF file:
```
data_LiBiBr3
_chemical_formula_sum 'Li6 Bi6 Br18'
_space_group_name_H-M_alt 'R -3'
_space_group_IT_number 148
_space_group_name_Hall '-R 3'
_cell_length_a 7.4728
_cell_length_b 7.4728
_cell_length_c 19.6093
_cell_angle_alpha 90.00
_cell_angle_beta 90.00
_cell_angle_gamma 120.00
loop_
_atom_site_label
_atom_site_type_symbol
_atom_site_fract_x
_atom_site_fract_y
_atom_site_fract_z
Li1 Li 0.0000 0.0000 0.1645
Bi1 Bi 0.0000 0.0000 0.4196
Br1 Br 0.0081 0.6266 0.4205
```

The volume comes out at 31.61 A^3/atom. As for the theoretical density: 4.8 g/cm3. The density of states at the Fermi level is 0.000 states/eV/cell. The magnetization comes out at 0.00 μB per formula unit. For the offset from the most stable computed form, the calculation gives 0 meV/atom.



Record 8
TaCoSi2 after structural relaxation, computed with PBE.

CIF file:
```
data_TaCoSi2
_chemical_formula_sum 'Ta1 Co1 Si2'
_space_group_name_H-M_alt 'P 4/m m m'
_space_group_IT_number 123
_space_group_name_Hall '-P 4 2'
_cell_length_a 2.8763
_cell_length_b 2.8763
_cell_length_c 6.3439
_cell_angle_alpha 90.00
_cell_angle_beta 90.00
_cell_angle_gamma 90.00
loop_
_atom_site_label
_atom_site_type_symbol
_atom_site_fract_x
_atom_site_fract_y
_atom_site_fract_z
Ta1 Ta 0.0000 0.0000 0.0000
Co1 Co 0.0000 0.0000 0.5000
Si1 Si 0.5000 0.5000 0.2950
```

The volume comes out at 13.12 A^3/atom. As for the theoretical density: 9.4 g/cm3. The density of states at the Fermi level is 1.701 states/eV/cell. The calculation puts the final energy at -7.728 eV per atom. The magnetization comes out at 0.00 μB per formula unit.



Record 9
PmCuBiRu after structural relaxation, computed with PBE.

CIF file:
```
data_PmCuBiRu
_chemical_formula_sum 'Pm4 Cu4 Bi4 Ru4'
_space_group_name_H-M_alt 'F -4 3 m'
_space_group_IT_number 216
_space_group_name_Hall 'F -4 2 3'
_cell_length_a 6.8893
_cell_length_b 6.8893
_cell_length_c 6.8893
_cell_angle_alpha 90.00
_cell_angle_beta 90.00
_cell_angle_gamma 90.00
loop_
_atom_site_label
_atom_site_type_symbol
_atom_site_fract_x
_atom_site_fract_y
_atom_site_fract_z
Pm1 Pm 0.0000 0.0000 0.0000
Cu1 Cu 0.2500 0.2500 0.2500
Bi1 Bi 0.0000 0.0000 0.5000
Ru1 Ru 0.2500 0.2500 0.7500
```

The volume comes out at 20.44 A^3/atom. As for the theoretical density: 10.5 g/cm3. The density of states at the Fermi level is 19.838 states/eV/cell. The magnetization comes out at 0.00 μB per formula unit. For the formation energy, the calculation gives -0.10 eV/f.u.



Which of these has the highest theoretical density?
Cd2H2Pt3



magnetization of number 2 (Cd2H2Pt3)?
0.00 μB per formula unit